10
Lattice="4.089 0.000 0.000 0.000 4.089 0.000 0.000 0.000 10.883" Properties=species:S:1:pos:R:3 comment="La2InP3Rh4 GGA-PBE relaxed" final_energy_ev_per_atom=-6.78 n_ef_per_ev_fu=4.7 magmom_total_mub_per_fu=0.000 pbc="T T T"
La 0.000 2.044 2.615
La 2.044 0.000 8.268
In 0.000 0.000 5.442
P 0.000 2.044 9.532
P 2.044 0.000 1.351
P 2.044 2.044 5.442
Rh 0.000 0.000 0.000
Rh 0.000 2.044 7.213
Rh 2.044 0.000 3.670
Rh 2.044 2.044 0.000

15
Lattice="6.954 0.000 0.000 -3.477 6.022 0.000 0.000 0.000 7.075" Properties=species:S:1:pos:R:3 comment="La3InP2Rh9 GGA-PBE relaxed" final_energy_ev_per_atom=-6.84 n_ef_per_ev_fu=6.9 magmom_total_mub_per_fu=0.000 pbc="T T T"
La 0.000 0.000 0.000
La 0.000 4.015 4.751
La 3.477 2.007 2.325
In 0.000 0.000 3.538
P 0.000 4.015 0.982
P 3.477 2.007 6.094
Rh -1.738 3.011 0.000
Rh 0.000 2.317 2.429
Rh -1.470 4.864 2.429
Rh 2.006 1.158 4.646
Rh 3.477 0.000 0.000
Rh 1.738 3.011 0.000
Rh 1.470 4.864 2.429
Rh 4.947 1.158 4.646
Rh 3.477 3.705 4.646

5
Lattice="5.232 0.000 0.000 0.000 5.232 0.000 0.000 0.000 5.181" Properties=species:S:1:pos:R:3 comment="LaInPS2 GGA-PBE relaxed" raw_formation_energy_mev_per_atom=-404 final_energy_ev_per_atom=-4.67 n_ef_per_ev_fu=3.4 magmom_total_mub_per_fu=0.000 pbc="T T T"
La 0.000 0.000 0.000
In 2.616 2.616 2.590
P 2.616 2.616 0.000
S 0.000 2.616 2.590
S 2.616 0.000 2.590

12
Lattice="6.551 0.000 0.000 -3.276 5.674 0.000 0.000 0.000 8.777" Properties=species:S:1:pos:R:3 comment="LaInP2S8 GGA-PBE relaxed" raw_formation_energy_mev_per_atom=-505 final_energy_ev_per_atom=-4.80 n_ef_per_ev_fu=0.8 magmom_total_mub_per_fu=0.000 pbc="T T T"
La 0.000 0.000 0.000
In 0.000 0.000 4.388
P 0.000 3.782 1.802
P 3.276 1.891 6.975
S 0.000 1.803 2.387
S -1.715 4.772 2.387
S 1.561 0.901 6.390
S 0.000 3.782 8.584
S 3.276 1.891 0.193
S 1.715 4.772 2.387
S 4.990 0.901 6.390
S 3.276 3.871 6.390

5
Lattice="5.598 0.000 0.000 0.000 5.598 0.000 0.000 0.000 5.884" Properties=species:S:1:pos:R:3 comment="LaInPS2 GGA-PBE relaxed" raw_formation_energy_mev_per_atom=-138 final_energy_ev_per_atom=-4.40 n_ef_per_ev_fu=5.4 magmom_total_mub_per_fu=2.492 pbc="T T T"
La 0.000 0.000 0.000
In 2.799 2.799 2.942
P 0.000 0.000 2.942
S 0.000 2.799 0.000
S 2.799 0.000 0.000

5
Lattice="5.597 0.000 0.000 0.000 5.597 0.000 0.000 0.000 4.968" Properties=species:S:1:pos:R:3 comment="La2ScInP GGA-PBE relaxed" final_energy_ev_per_atom=-5.56 n_ef_per_ev_fu=4.4 magmom_total_mub_per_fu=0.000 pbc="T T T"
La 0.000 2.798 0.000
La 2.798 0.000 0.000
Sc 0.000 0.000 2.484
In 2.798 2.798 2.484
P 0.000 0.000 0.000

5
Lattice="5.353 0.000 0.000 0.000 5.353 0.000 0.000 0.000 4.780" Properties=species:S:1:pos:R:3 comment="LaTaIn2P GGA-PBE relaxed" final_energy_ev_per_atom=-5.57 n_ef_per_ev_fu=3.5 magmom_total_mub_per_fu=0.000 pbc="T T T"
La 0.000 0.000 0.000
Ta 2.677 2.677 2.390
In 0.000 2.677 2.390
In 2.677 0.000 2.390
P 2.677 2.677 0.000

5
Lattice="5.537 0.000 0.000 0.000 5.537 0.000 0.000 0.000 5.004" Properties=species:S:1:pos:R:3 comment="LaTl2InP GGA-PBE relaxed" final_energy_ev_per_atom=-3.37 n_ef_per_ev_fu=4.1 magmom_total_mub_per_fu=0.000 pbc="T T T"
La 0.000 0.000 0.000
Tl 0.000 2.769 2.502
Tl 2.769 0.000 2.502
In 2.769 2.769 0.000
P 2.769 2.769 2.502

What did the sixth record say?
5
Lattice="5.597 0.000 0.000 0.000 5.597 0.000 0.000 0.000 4.968" Properties=species:S:1:pos:R:3 comment="La2ScInP GGA-PBE relaxed" final_energy_ev_per_atom=-5.56 n_ef_per_ev_fu=4.4 magmom_total_mub_per_fu=0.000 pbc="T T T"
La 0.000 2.798 0.000
La 2.798 0.000 0.000
Sc 0.000 0.000 2.484
In 2.798 2.798 2.484
P 0.000 0.000 0.000